Entry 1:
Entry from Alexandria via LeMat-Bulk: a relaxed structure of FeOsBr2 (PBE).

## Properties
The calculation puts the formation energy from raw total energies at 1.173 eV/atom. The calculated volume comes out at 88 Å³/f.u. The calculation puts the total moment at 2.91 μB/f.u. The relative energy among the computed polymorphs comes out at 0.771 eV/atom. The symmetry is I-42d.

a b c (Å): 5.630 5.630 6.856
angles (deg): 65.76 65.76 90.00
Fractional coordinates of all 8 atoms:
Fe (0.500, 0.500, 0.000)
Fe (0.250, 0.750, 0.500)
Br (0.375, 0.383, 0.750)
Br (0.875, 0.867, 0.750)
Br (0.617, 0.125, 0.250)
Br (0.133, 0.625, 0.250)
Os (0.750, 0.250, 0.500)
Os (0.000, 0.000, 0.000)



Entry 2:
Entry from Alexandria via LeMat-Bulk: a relaxed structure of FeOsBr (PBE).

## Properties
The calculation puts the formation energy from raw total energies at 0.805 eV/atom. The calculated volume comes out at 47 Å³/f.u. The calculation puts the total moment at 2.24 μB/f.u. The relative energy among the computed polymorphs comes out at 0.000 eV/atom. The symmetry is P3m1.

a b c (Å): 2.972 2.972 6.120
angles (deg): 90.00 90.00 120.00
Fractional coordinates of all 3 atoms:
Os (0.667, 0.333, 0.638)
Fe (0.333, 0.667, 0.339)
Br (0.000, 0.000, 0.023)



Entry 3:
Entry from Alexandria via LeMat-Bulk: a relaxed structure of FeOs3Br (PBE).

## Properties
The calculation puts the formation energy from raw total energies at 2.818 eV/atom. The calculated volume comes out at 91 Å³/f.u. The calculation puts the total moment at 0.00 μB/f.u. The relative energy among the computed polymorphs comes out at 0.602 eV/atom. The symmetry is Pm-3m.

a b c (Å): 4.490 4.490 4.490
angles (deg): 90.00 90.00 90.00
Fractional coordinates of all 5 atoms:
Os (0.000, 0.000, 0.500)
Os (0.500, 0.000, 0.000)
Os (0.000, 0.500, 0.000)
Fe (0.500, 0.500, 0.500)
Br (0.000, 0.000, 0.000)



> Which value of relative energy among the computed polymorphs does entry 2 give?

0.000 eV/atom



> calculated volume of number 2 (FeOsBr)?

47 Å³/f.u.



> formation energy from raw total energies of number 1 (FeOsBr2)?

1.173 eV/atom